# 1
Ce3Al11 | PBEsol | optimized geometry

Output
Formation energy from the elements   -316 meV per atom
SG   No. 71
Uncorrected energy   -4.94 eV per atom

extended XYZ file:
```
14
Lattice="-2.1656 4.9619 6.3554 2.1656 -4.9619 6.3554 2.1656 4.9619 -6.3554" Properties=species:S:1:pos:R:3 pbc="T T T"
Ce 0.0000 0.0000 0.0000
Ce 0.0000 0.0000 3.9797
Ce 0.0000 0.0000 8.7312
Al 2.1656 -1.2930 2.0603
Al 2.1656 -2.2259 4.6014
Al 2.1656 1.2930 2.0603
Al 2.1656 2.9221 0.0000
Al 0.0000 2.7360 1.7540
Al 0.0000 4.9619 0.0000
Al 2.1656 2.2259 4.6014
Al 0.0000 2.0398 6.3554
Al 0.0000 3.6689 4.2951
Al 0.0000 7.1878 1.7540
Al 0.0000 6.2549 4.2951
```

---

# 2
CeAlCo | PBEsol | optimized geometry

Output
Formation energy from the elements   -502 meV per atom
SG   No. 12
Uncorrected energy   -6.64 eV per atom

extended XYZ file:
```
12
Lattice="10.7974 0.0000 0.0000 0.0000 4.4837 0.0000 -1.8011 0.0000 4.3249" Properties=species:S:1:pos:R:3 pbc="T T T"
Ce 0.8359 0.0000 1.6048
Ce 2.7617 2.2419 2.7201
Ce 6.2346 2.2419 1.6048
Ce 8.1604 0.0000 2.7201
Al -0.6086 2.2419 3.5659
Al 4.2062 0.0000 0.7590
Al 4.7901 0.0000 3.5659
Al 9.6049 2.2419 0.7590
Co 0.3173 0.0000 3.8029
Co 3.2803 2.2419 0.5221
Co 5.7160 2.2419 3.8029
Co 8.6790 0.0000 0.5221
```

---

# 3
CeAl20Co2 | PBEsol | optimized geometry

Output
Formation energy from the elements   -157 meV per atom
SG   No. 227
Uncorrected energy   -4.67 eV per atom

extended XYZ file:
```
46
Lattice="0.0000 7.2013 7.2013 7.2013 0.0000 7.2013 7.2013 7.2013 0.0000" Properties=species:S:1:pos:R:3 pbc="T T T"
Ce 1.8003 1.8003 1.8003
Ce 12.6022 12.6022 12.6022
Al 0.0000 0.0000 0.0000
Al 3.6006 3.6006 0.0000
Al 3.6006 0.0000 3.6006
Al 4.7062 2.7625 2.7625
Al 8.0394 6.0957 2.7625
Al 8.0394 2.7625 6.0957
Al 9.6963 6.3631 6.3631
Al 11.6401 8.3069 6.3631
Al 11.6401 6.3631 8.3069
Al 5.4010 5.4010 3.4604
Al 5.4010 3.4604 5.4010
Al 7.3415 5.4010 5.4010
Al 2.7625 4.7062 2.7625
Al 6.0957 8.0394 2.7625
Al 2.7625 2.7625 4.7062
Al 8.0394 8.0394 4.7062
Al 6.0957 2.7625 8.0394
Al 8.0394 4.7062 8.0394
Al 9.0016 9.0016 7.0610
Al 9.0016 7.0610 9.0016
Al 10.9422 9.0016 9.0016
Al 0.0000 3.6006 3.6006
Al 3.4604 5.4010 5.4010
Al 5.4010 7.3415 5.4010
Al 5.4010 5.4010 7.3415
Al 6.3631 9.6963 6.3631
Al 8.3069 11.6401 6.3631
Al 6.3631 6.3631 9.6963
Al 11.6401 11.6401 9.6963
Al 8.3069 6.3631 11.6401
Al 11.6401 9.6963 11.6401
Al 7.0610 9.0016 9.0016
Al 9.0016 10.9422 9.0016
Al 9.0016 9.0016 10.9422
Al 2.7625 8.0394 6.0957
Al 2.7625 6.0957 8.0394
Al 4.7062 8.0394 8.0394
Al 6.3631 11.6401 8.3069
Al 6.3631 8.3069 11.6401
Al 9.6963 11.6401 11.6401
Co 7.2013 3.6006 3.6006
Co 3.6006 7.2013 3.6006
Co 3.6006 3.6006 7.2013
Co 7.2013 7.2013 7.2013
```

---

# 4
Ce2Al2Co15 | PBEsol | optimized geometry

Output
Formation energy from the elements   -150 meV per atom
SG   No. 166
Uncorrected energy   -7.38 eV per atom

extended XYZ file:
```
19
Lattice="4.1001 2.3672 4.0217 -4.1001 2.3672 4.0217 0.0000 -4.7344 4.0217" Properties=species:S:1:pos:R:3 pbc="T T T"
Ce 0.0000 0.0000 1.7498
Ce 0.0000 0.0000 10.3152
Al 0.0000 0.0000 4.7535
Al 0.0000 0.0000 7.3115
Co -2.0500 -1.1836 4.0217
Co 0.0000 -2.3582 3.7917
Co -2.0423 1.1791 3.7917
Co -1.1778 -2.0401 6.0325
Co -2.3557 0.0000 6.0325
Co -2.0423 -1.1791 8.2732
Co -2.0500 1.1836 8.0433
Co 1.1778 -2.0401 6.0325
Co 0.0000 2.3672 4.0217
Co -1.1778 2.0401 6.0325
Co 2.0423 1.1791 3.7917
Co 2.3557 0.0000 6.0325
Co 1.1778 2.0401 6.0325
Co 2.0423 -1.1791 8.2732
Co 0.0000 2.3582 8.2732
```

---

# 5
CeAlCo4 | PBEsol | optimized geometry

Output
Formation energy from the elements   -202 meV per atom
SG   No. 187
Polymorph energy (0 for the lowest one)   51 meV per atom
Uncorrected energy   -7.14 eV per atom

extended XYZ file:
```
6
Lattice="4.9773 0.0000 0.0000 -2.4886 4.3104 0.0000 0.0000 0.0000 3.8248" Properties=species:S:1:pos:R:3 pbc="T T T"
Ce 0.0000 0.0000 0.0000
Al 2.4886 1.4368 0.0000
Co -1.2154 2.1719 1.9124
Co 0.0000 2.8736 0.0000
Co 1.2154 2.1719 1.9124
Co 0.0000 4.2770 1.9124
```

---

# 6
CeAlCo4 | PBEsol | optimized geometry

Output
Formation energy from the elements   -253 meV per atom
SG   No. 65
Polymorph energy (0 for the lowest one)   0 meV per atom
Uncorrected energy   -7.19 eV per atom

extended XYZ file:
```
12
Lattice="4.9290 0.0000 0.0000 0.0000 8.2633 0.0000 0.0000 0.0000 4.0145" Properties=species:S:1:pos:R:3 pbc="T T T"
Ce 0.0000 0.0000 0.0000
Ce 2.4645 4.1316 0.0000
Al 0.0000 4.1316 2.0073
Al 2.4645 0.0000 2.0073
Co 0.0000 2.5133 0.0000
Co 0.0000 5.7500 0.0000
Co 1.2323 2.0658 2.0073
Co 1.2323 6.1975 2.0073
Co 2.4645 1.6183 0.0000
Co 2.4645 6.6450 0.0000
Co 3.6968 2.0658 2.0073
Co 3.6968 6.1975 2.0073
```

---

# 7
Ce3AlCrS7 | PBEsol | optimized geometry

Output
Formation energy without anion corrections   -1.5945 eV per atom
SG   No. 173
Uncorrected energy   -7.00 eV per atom

extended XYZ file:
```
24
Lattice="9.4984 0.0000 0.0000 -4.7492 8.2258 0.0000 0.0000 0.0000 6.1077" Properties=species:S:1:pos:R:3 pbc="T T T"
Ce -0.0775 3.0598 0.0000
Ce -2.0606 6.7630 0.0000
Ce 2.6111 1.5970 3.0539
Ce 2.1381 6.6289 0.0000
Ce 6.8098 1.4628 3.0539
Ce 4.8266 5.1661 3.0539
Al 0.0000 5.4839 2.5856
Al 4.7492 2.7419 5.6395
Cr 0.0000 0.0000 2.1154
Cr 0.0000 0.0000 5.1692
S -1.8307 4.4872 1.7546
S -0.0418 1.8411 3.6223
S -3.1339 7.3414 3.6223
S 1.5736 0.9567 0.5685
S 0.0000 5.4839 4.7977
S 1.7785 4.3968 1.7546
S 0.0522 7.5677 1.7546
S 4.6970 0.6581 4.8085
S 2.9706 3.8290 4.8085
S 4.7492 2.7419 1.7438
S 3.1756 7.2691 3.6223
S 7.8830 0.8844 0.5685
S 4.7909 6.3847 0.5685
S 6.5799 3.7387 4.8085
```

---

# 8
CeAlCu | PBEsol | optimized geometry

Output
Formation energy from the elements   -277 meV per atom
SG   No. 189
Uncorrected energy   -5.28 eV per atom

extended XYZ file:
```
9
Lattice="6.8158 0.0000 0.0000 -3.4079 5.9026 0.0000 0.0000 0.0000 4.2182" Properties=species:S:1:pos:R:3 pbc="T T T"
Ce -1.4493 2.5102 0.0000
Ce 2.8986 0.0000 0.0000
Ce 1.9586 3.3924 0.0000
Al -2.6063 4.5143 2.1091
Al 0.8016 1.3883 2.1091
Al 5.2126 0.0000 2.1091
Cu 0.0000 0.0000 0.0000
Cu 0.0000 3.9351 2.1091
Cu 3.4079 1.9675 2.1091
```

---

# 9
CeAl10Fe2 | PBEsol | optimized geometry

Output
Formation energy from the elements   -356 meV per atom
SG   No. 63
Uncorrected energy   -5.39 eV per atom

extended XYZ file:
```
26
Lattice="4.4205 -5.0630 0.0000 4.4205 5.0630 0.0000 0.0000 0.0000 8.9056" Properties=species:S:1:pos:R:3 pbc="T T T"
Ce 4.4205 3.8174 6.6792
Ce 4.4205 -3.8174 2.2264
Al 2.4032 1.4168 6.6792
Al 4.4205 3.4430 0.8719
Al 4.4205 3.4430 3.5809
Al 3.0897 1.2986 2.2264
Al 2.0023 0.0000 0.0000
Al 2.0023 0.0000 4.4528
Al 4.4205 1.2665 4.9101
Al 4.4205 1.2665 8.4483
Al 2.4032 -1.4168 2.2264
Al 3.0897 -1.2986 6.6792
Al 5.7513 1.2986 2.2264
Al 6.4378 1.4168 6.6792
Al 4.4205 -1.2665 0.4573
Al 4.4205 -1.2665 3.9955
Al 6.8387 0.0000 0.0000
Al 6.8387 0.0000 4.4528
Al 5.7513 -1.2986 6.6792
Al 4.4205 -3.4430 5.3247
Al 4.4205 -3.4430 8.0337
Al 6.4378 -1.4168 2.2264
Fe 2.2102 2.5315 0.0000
Fe 2.2102 2.5315 4.4528
Fe 2.2102 -2.5315 0.0000
Fe 2.2102 -2.5315 4.4528
```

---

# 10
CeAl8Fe4 | PBEsol | optimized geometry

Output
Formation energy from the elements   -400 meV per atom
SG   No. 139
Uncorrected energy   -6.18 eV per atom

extended XYZ file:
```
13
Lattice="-4.3296 4.3296 2.4830 4.3296 -4.3296 2.4830 4.3296 4.3296 -2.4830" Properties=species:S:1:pos:R:3 pbc="T T T"
Ce 0.0000 0.0000 0.0000
Al 2.9606 0.0000 0.0000
Al 5.6985 0.0000 0.0000
Al 4.3296 2.4174 0.0000
Al 0.0000 2.9606 0.0000
Al 2.4174 4.3296 0.0000
Al 1.9122 0.0000 2.4830
Al 0.0000 5.6985 0.0000
Al 0.0000 1.9122 2.4830
Fe 2.1648 2.1648 -1.2415
Fe 2.1648 -2.1648 1.2415
Fe -2.1648 2.1648 1.2415
Fe 2.1648 2.1648 1.2415
```

---

# 11
CeAl2Ge2 | PBEsol | optimized geometry

Output
Formation energy from the elements   -393 meV per atom
SG   No. 164
Uncorrected energy   -5.32 eV per atom

extended XYZ file:
```
5
Lattice="4.2319 0.0000 0.0000 -2.1160 3.6649 0.0000 0.0000 0.0000 6.7633" Properties=species:S:1:pos:R:3 pbc="T T T"
Ce 0.0000 0.0000 0.0000
Al 0.0000 2.4433 4.3469
Al 2.1160 1.2216 2.4164
Ge 0.0000 2.4433 1.7694
Ge 2.1160 1.2216 4.9939
```

---

# 12
CeAlH2Ir | PBEsol | optimized geometry

Output
SG   No. 194
Uncorrected energy   -6.06 eV per atom

extended XYZ file:
```
10
Lattice="4.3562 0.0000 0.0000 -2.1781 3.7725 0.0000 0.0000 0.0000 7.9030" Properties=species:S:1:pos:R:3 pbc="T T T"
Ce 0.0000 0.0000 0.0000
Ce 0.0000 0.0000 3.9515
Al 0.0000 2.5150 1.9758
Al 2.1781 1.2575 5.9273
H 0.0000 2.5150 4.2207
H 0.0000 2.5150 7.6339
H 2.1781 1.2575 0.2692
H 2.1781 1.2575 3.6823
Ir 0.0000 2.5150 5.9273
Ir 2.1781 1.2575 1.9758
```

---

> The lowest uncorrected energy belongs to which entry?

Ce2Al2Co15

---

Please write out number 5 again, unchanged.
CeAlCo4 | PBEsol | optimized geometry

Output
Formation energy from the elements   -202 meV per atom
SG   No. 187
Polymorph energy (0 for the lowest one)   51 meV per atom
Uncorrected energy   -7.14 eV per atom

extended XYZ file:
```
6
Lattice="4.9773 0.0000 0.0000 -2.4886 4.3104 0.0000 0.0000 0.0000 3.8248" Properties=species:S:1:pos:R:3 pbc="T T T"
Ce 0.0000 0.0000 0.0000
Al 2.4886 1.4368 0.0000
Co -1.2154 2.1719 1.9124
Co 0.0000 2.8736 0.0000
Co 1.2154 2.1719 1.9124
Co 0.0000 4.2770 1.9124
```